# Sc6Cd5Cu, optimized geometry, DFT PBE
# final energy	-0.306	Ry per atom
data_Sc6Cd5Cu
_space_group_name_H-M_alt 'C m m m'
_space_group_IT_number 65
_space_group_name_Hall '-C 2 2'
_cell_length_a 4.9401
_cell_length_b 14.8518
_cell_length_c 7.0259
_cell_angle_alpha 90.00
_cell_angle_beta 90.00
_cell_angle_gamma 90.00
loop_
_atom_site_label
_atom_site_type_symbol
_atom_site_fract_x
_atom_site_fract_y
_atom_site_fract_z
Sc1 Sc 0.0000 0.0000 0.2341
Sc2 Sc 0.0000 0.3408 0.2423
Cd1 Cd 0.0000 0.1698 0.5000
Cd2 Cd 0.0000 0.1719 0.0000
Cd3 Cd 0.0000 0.5000 0.5000
Cu1 Cu 0.0000 0.5000 0.0000